No. 1
Below is a relaxed structure of Pa3CoN6, with properties calculated at the PBE level.

Cell lengths 7.2858, 7.2858, 5.3844 Å; angles 90.00, 90.00, 102.92 degrees
Last column: nearest neighbours and their distance in Å.
Fractional coordinates of all 20 atoms:
Pa (0.1076, 0.8924, 0.5000)  7 N 2.30-2.37
Pa (0.1937, 0.4181, 0.5366)  6 N 2.25-2.40
Pa (0.4181, 0.1937, 0.0366)  6 N 2.25-2.40
Pa (0.5819, 0.8063, 0.5366)  6 N 2.25-2.40
Pa (0.8063, 0.5819, 0.0366)  6 N 2.25-2.40
Pa (0.8924, 0.1076, 0.0000)  7 N 2.30-2.37
Co (0.3052, 0.6948, 0.0817)  4 N 1.90-1.94
Co (0.6948, 0.3052, 0.5817)  4 N 1.90-1.94
N (0.0734, 0.6111, 0.2683)  1 Co 1.94
N (0.1439, 0.1737, 0.2700)  4 Pa 2.25-2.36
N (0.1737, 0.1439, 0.7700)  4 Pa 2.25-2.36
N (0.2865, 0.7135, 0.7255)  1 Co 1.93
N (0.3889, 0.9266, 0.2683)  1 Co 1.94
N (0.4485, 0.5515, 0.2631)  1 Co 1.90
N (0.5515, 0.4485, 0.7631)  1 Co 1.90
N (0.6111, 0.0734, 0.7683)  1 Co 1.94
N (0.7135, 0.2865, 0.2255)  1 Co 1.93
N (0.8263, 0.8561, 0.2700)  4 Pa 2.25-2.36
N (0.8561, 0.8263, 0.7700)  4 Pa 2.25-2.36
N (0.9266, 0.3889, 0.7683)  1 Co 1.94

## Properties
Fermi-level density of states: 14.8 states/eV/cell
space group: Cmc2_1
uncorrected energy: -9.775 eV per atom
uncorrected formation energy: -1220 meV/atom
total magnetization: 7.76 Bohr magnetons per cell

***

No. 2
Below is a relaxed structure of Pa6CoN12, with properties calculated at the PBE level.

Cell lengths 6.5092, 6.5092, 6.5092 Å; angles 98.79, 98.79, 98.79 degrees
Last column: nearest neighbours and their distance in Å.
Fractional coordinates of all 19 atoms:
Pa (0.0992, 0.7889, 0.6355)  7 N 2.21-2.45
Pa (0.2111, 0.3645, 0.9008)  7 N 2.21-2.45
Pa (0.3645, 0.9008, 0.2111)  7 N 2.21-2.45
Pa (0.6355, 0.0992, 0.7889)  7 N 2.21-2.45
Pa (0.7889, 0.6355, 0.0992)  7 N 2.21-2.45
Pa (0.9008, 0.2111, 0.3645)  7 N 2.21-2.45
Co (0.5000, 0.5000, 0.5000)  6 N 2.05
N (0.0610, 0.9047, 0.3245)  4 Pa 2.21-2.41
N (0.0953, 0.6755, 0.9390)  4 Pa 2.21-2.41
N (0.1957, 0.4405, 0.5543)  1 Co 2.05, 1 Pa 2.30
N (0.3245, 0.0610, 0.9047)  4 Pa 2.21-2.41
N (0.4405, 0.5543, 0.1957)  1 Co 2.05, 1 Pa 2.30
N (0.4457, 0.8043, 0.5595)  1 Co 2.05, 1 Pa 2.30
N (0.5543, 0.1957, 0.4405)  1 Co 2.05, 1 Pa 2.30
N (0.5595, 0.4457, 0.8043)  1 Co 2.05, 1 Pa 2.30
N (0.6755, 0.9390, 0.0953)  4 Pa 2.21-2.41
N (0.8043, 0.5595, 0.4457)  1 Co 2.05, 1 Pa 2.30
N (0.9047, 0.3245, 0.0610)  4 Pa 2.21-2.41
N (0.9390, 0.0953, 0.6755)  4 Pa 2.21-2.41

## Properties
Fermi-level density of states: 14.2 states/eV/cell
space group: R-3
uncorrected energy: -9.831 eV per atom
uncorrected formation energy: -1201 meV/atom
total magnetization: 2.37 Bohr magnetons per cell

***

No. 3
Below is a relaxed structure of Pa2CoN3, with properties calculated at the PBE level.

Cell lengths 6.7197, 3.4111, 13.2806 Å; angles 90.00, 90.00, 90.00 degrees
Last column: nearest neighbours and their distance in Å.
Fractional coordinates of all 24 atoms:
Pa (0.0783, 0.2500, 0.2261)  5 N 2.35-2.46
Pa (0.2489, 0.2500, 0.9660)  7 N 2.39-2.56
Pa (0.2511, 0.7500, 0.4660)  7 N 2.39-2.56
Pa (0.4217, 0.7500, 0.7261)  5 N 2.35-2.46
Pa (0.5783, 0.2500, 0.2739)  5 N 2.35-2.46
Pa (0.7489, 0.2500, 0.5340)  7 N 2.39-2.56
Pa (0.7511, 0.7500, 0.0340)  7 N 2.39-2.56
Pa (0.9217, 0.7500, 0.7739)  5 N 2.35-2.46
Co (0.1281, 0.2500, 0.6345)  4 N 1.96-2.05
Co (0.3719, 0.7500, 0.1345)  4 N 1.96-2.05
Co (0.6281, 0.2500, 0.8655)  4 N 1.96-2.05
Co (0.8719, 0.7500, 0.3655)  4 N 1.96-2.05
N (0.0250, 0.2500, 0.4012)  2 Co 2.05
N (0.1094, 0.7500, 0.0698)  1 Co 1.96
N (0.1846, 0.2500, 0.7793)  1 Co 1.96
N (0.3154, 0.7500, 0.2793)  1 Co 1.96
N (0.3906, 0.2500, 0.5698)  1 Co 1.96
N (0.4750, 0.7500, 0.9012)  2 Co 2.05
N (0.5250, 0.2500, 0.0988)  2 Co 2.05
N (0.6094, 0.7500, 0.4302)  1 Co 1.96
N (0.6846, 0.2500, 0.7207)  1 Co 1.96
N (0.8154, 0.7500, 0.2207)  1 Co 1.96
N (0.8906, 0.2500, 0.9302)  1 Co 1.96
N (0.9750, 0.7500, 0.5988)  2 Co 2.05

## Properties
Fermi-level density of states: 12.3 states/eV/cell
space group: Pnma
uncorrected energy: -9.812 eV per atom
uncorrected formation energy: -1300 meV/atom
total magnetization: 0.00 Bohr magnetons per cell

***

No. 4
Below is a relaxed structure of Pa2CoN, with properties calculated at the PBE level.

Cell lengths 6.8124, 6.8124, 6.8124 Å; angles 30.08, 30.08, 30.08 degrees
Last column: nearest neighbours and their distance in Å.
Fractional coordinates of all 4 atoms:
Pa (0.0000, 0.0000, 0.0000)  3 Co 2.67, 3 N 2.68
Pa (0.1570, 0.1570, 0.1570)  3 N 2.43, 3 Co 2.67
Co (0.5787, 0.5787, 0.5787)  6 Pa 2.67
N (0.7559, 0.7559, 0.7559)  6 Pa 2.43-2.68

## Properties
Fermi-level density of states: 3.5 states/eV/cell
space group: R3m
uncorrected energy: -9.124 eV per atom
polymorph energy (0 for the lowest one): 0.0 meV per atom
uncorrected formation energy: -518 meV/atom
total magnetization: 0.00 Bohr magnetons per cell

***

No. 5
Below is a relaxed structure of PmPa2CoN5, with properties calculated at the PBE level.

Cell lengths 7.2725, 7.2725, 9.8965 Å; angles 90.00, 90.00, 152.91 degrees
Last column: nearest neighbours and their distance in Å.
Fractional coordinates of all 18 atoms:
Pm (0.2037, 0.7963, 0.5000)  4 N 2.35-2.48
Pm (0.7963, 0.2037, 0.0000)  4 N 2.35-2.48
Pa (0.0941, 0.9059, 0.1888)  5 N 2.26-2.50
Pa (0.1278, 0.8722, 0.8045)  5 N 2.30-2.41
Pa (0.8722, 0.1278, 0.3045)  5 N 2.30-2.41
Pa (0.9059, 0.0941, 0.6888)  5 N 2.26-2.50
Co (0.4781, 0.5219, 0.9708)  5 N 1.88-2.10
Co (0.5219, 0.4781, 0.4708)  5 N 1.88-2.10
N (0.0493, 0.9507, 0.5884)  2 Co 2.10, 1 Pa 2.26
N (0.2837, 0.7163, 0.2140)  2 Pa 2.30
N (0.3562, 0.6438, 0.8591)  1 Co 2.05
N (0.3782, 0.6218, 0.5225)  1 Co 2.10
N (0.4812, 0.5188, 0.2896)  1 Co 1.88
N (0.5188, 0.4812, 0.7896)  1 Co 1.88
N (0.6218, 0.3782, 0.0225)  1 Co 2.10
N (0.6438, 0.3562, 0.3591)  1 Co 2.05
N (0.7163, 0.2837, 0.7140)  2 Pa 2.30
N (0.9507, 0.0493, 0.0884)  2 Co 2.10, 1 Pa 2.26

## Properties
Fermi-level density of states: 4.3 states/eV/cell
space group: Cmc2_1
uncorrected energy: -9.085 eV per atom
uncorrected formation energy: -1032 meV/atom
total magnetization: 1.45 Bohr magnetons per cell

***

No. 6
Below is a relaxed structure of PrPa2CoN4, with properties calculated at the PBE level.

Cell lengths 6.0488, 6.0488, 11.4301 Å; angles 90.00, 90.00, 146.53 degrees
Last column: nearest neighbours and their distance in Å.
Fractional coordinates of all 16 atoms:
Pr (0.1043, 0.8957, 0.7500)  6 N 2.55-2.77
Pr (0.8957, 0.1043, 0.2500)  6 N 2.55-2.77
Pa (0.3679, 0.6321, 0.5615)  6 N 2.30-2.43
Pa (0.3679, 0.6321, 0.9385)  6 N 2.30-2.43
Pa (0.6321, 0.3679, 0.0615)  6 N 2.30-2.43
Pa (0.6321, 0.3679, 0.4385)  6 N 2.30-2.43
Co (0.1580, 0.8420, 0.2500)  4 N 2.02-2.10
Co (0.8420, 0.1580, 0.7500)  4 N 2.02-2.10
N (0.0000, 0.0000, 0.0000)  4 Pa 2.42
N (0.0000, 0.0000, 0.5000)  4 Pa 2.42
N (0.2688, 0.7312, 0.1130)  1 Co 2.02
N (0.2688, 0.7312, 0.3870)  1 Co 2.02
N (0.4435, 0.5565, 0.7500)  2 Co 2.10, 2 Pa 2.33
N (0.5565, 0.4435, 0.2500)  2 Co 2.10, 2 Pa 2.33
N (0.7312, 0.2688, 0.6130)  1 Co 2.02
N (0.7312, 0.2688, 0.8870)  1 Co 2.02

## Properties
Fermi-level density of states: 4.2 states/eV/cell
space group: Cmcm
uncorrected energy: -9.359 eV per atom
uncorrected formation energy: -1337 meV/atom
total magnetization: 0.59 Bohr magnetons per cell